1.
Entry from Alexandria: a geometry-optimized YIrRu structure (GGA-PBE).

Cell: 2.9732 2.9732 7.0244 Å, 90.00 90.00 120.00°
Atoms (fractional coordinates):
1 Y 0.0000 0.0000 0.0000
2 Ir 0.3333 0.6667 0.3548
3 Ru 0.6667 0.3333 0.6468

Total energy ... -7.80 eV per atom
Energy above the most stable polymorph in this dataset ... 92.4 kJ per mole of atoms
Energy relative to the elements ... 0.396 eV/atom
Space-group type ... No. 156


2.
Entry from Alexandria: a geometry-optimized Y4IrRu structure (GGA-PBE).

Cell: 5.8331 5.8331 5.8331 Å, 60.00 60.00 60.00°
Atoms (fractional coordinates):
1 Y 0.1248 0.1248 0.1248
2 Y 0.1248 0.1248 0.6257
3 Y 0.1248 0.6257 0.1248
4 Y 0.6257 0.1248 0.1248
5 Ir 0.7500 0.7500 0.7500
6 Ru 0.5000 0.5000 0.5000

Total energy ... -6.48 eV per atom
Energy above the most stable polymorph in this dataset ... 132.3 kJ per mole of atoms
Energy relative to the elements ... 0.851 eV/atom
Space-group type ... No. 216


3.
Entry from Alexandria: a geometry-optimized YIr2Ru structure (GGA-PBE).

Cell: 9.0487 9.0487 9.0487 Å, 150.66 150.66 41.98°
Atoms (fractional coordinates):
1 Y 0.0000 0.0000 0.0000
2 Y 0.7500 0.2500 0.5000
3 Ir 0.2649 0.6250 0.1399
4 Ir 0.3750 0.5149 0.6399
5 Ir 0.4851 0.1250 0.8601
6 Ir 0.8750 0.7351 0.3601
7 Ru 0.2500 0.7500 0.5000
8 Ru 0.5000 0.5000 0.0000

Total energy ... -8.12 eV per atom
Energy above the most stable polymorph in this dataset ... 44.1 kJ per mole of atoms
Energy relative to the elements ... 0.249 eV/atom
Space-group type ... No. 122


4.
Entry from Alexandria: a geometry-optimized Y4IrRu structure (GGA-PBE).

Cell: 6.8441 6.8443 6.8403 Å, 90.00 90.44 90.00°
Atoms (fractional coordinates):
1 Y 0.1626 0.1649 0.1665
2 Y 0.1626 0.3351 0.6665
3 Y 0.3330 0.6643 0.1625
4 Y 0.3330 0.8357 0.6625
5 Y 0.6670 0.1643 0.3375
6 Y 0.6670 0.3357 0.8375
7 Y 0.8374 0.6649 0.3335
8 Y 0.8374 0.8351 0.8335
9 Ir 0.5000 0.0000 0.0000
10 Ir 0.5000 0.5000 0.5000
11 Ru 0.0000 0.0000 0.5000
12 Ru 0.0000 0.5000 0.0000

Total energy ... -7.78 eV per atom
Energy above the most stable polymorph in this dataset ... 6.9 kJ per mole of atoms
Energy relative to the elements ... -0.448 eV/atom
Space-group type ... No. 14